Computed, not measured: a relaxed structure of In8Sn2Bi at the PBE level of DFT.

The structure in POSCAR format:
```
In8Sn2Bi
1.0
8.836 -3.180 0.000
8.836 3.180 0.000
-0.816 0.000 5.630
In Sn Bi
8 2 1
Direct
0.090 0.090 0.020
0.163 0.656 0.464
0.309 0.309 0.928
0.344 0.837 0.536
0.656 0.163 0.464
0.691 0.691 0.072
0.837 0.344 0.536
0.910 0.910 0.980
0.241 0.241 0.398
0.759 0.759 0.602
0.500 0.500 0.000
```

SG ... No. 12
E ... -0.111 hartree per atom
Density of states at the Fermi level ... 5.19 states/eV per cell

***

Computed, not measured: a relaxed structure of InSn2Bi2 at the PBE level of DFT.

The structure in POSCAR format:
```
InSn2Bi2
1.0
6.664 0.000 0.000
0.000 4.183 0.000
0.000 0.000 22.367
In Sn Bi
4 8 8
Direct
0.134 0.250 0.062
0.366 0.750 0.562
0.634 0.250 0.438
0.866 0.750 0.938
0.123 0.750 0.770
0.189 0.750 0.360
0.311 0.250 0.860
0.377 0.250 0.270
0.623 0.750 0.730
0.689 0.750 0.140
0.811 0.250 0.640
0.877 0.250 0.230
0.173 0.250 0.466
0.226 0.750 0.169
0.274 0.250 0.669
0.327 0.750 0.966
0.673 0.250 0.034
0.726 0.750 0.331
0.774 0.250 0.831
0.827 0.750 0.534
```

SG ... No. 62
E ... -0.133 hartree per atom
Density of states at the Fermi level ... 10.99 states/eV per cell

***

Computed, not measured: a relaxed structure of In12Sn6Bi at the PBE level of DFT.

The structure in POSCAR format:
```
In12Sn6Bi
1.0
7.107 4.103 3.219
-7.107 4.103 3.219
0.000 -8.206 3.219
In Sn Bi
12 6 1
Direct
0.000 0.385 0.615
0.000 0.615 0.385
0.165 0.165 0.413
0.165 0.413 0.165
0.385 0.000 0.615
0.385 0.615 0.000
0.413 0.165 0.165
0.587 0.835 0.835
0.615 0.000 0.385
0.615 0.385 0.000
0.835 0.587 0.835
0.835 0.835 0.587
0.192 0.192 0.807
0.192 0.807 0.192
0.193 0.808 0.808
0.807 0.192 0.192
0.808 0.193 0.808
0.808 0.808 0.193
0.500 0.500 0.500
```

SG ... No. 166
E ... -0.115 hartree per atom
Density of states at the Fermi level ... 8.07 states/eV per cell

***

Computed, not measured: a relaxed structure of In4Sn4Bi3 at the PBE level of DFT.

The structure in POSCAR format:
```
In4Sn4Bi3
1.0
3.197 0.000 0.000
0.670 6.800 0.000
0.219 2.537 15.132
In Sn Bi
4 4 3
Direct
0.154 0.469 0.372
0.267 0.611 0.915
0.733 0.389 0.085
0.846 0.531 0.628
0.039 0.279 0.812
0.400 0.183 0.544
0.600 0.817 0.456
0.961 0.721 0.188
0.000 0.000 0.000
0.287 0.894 0.727
0.713 0.106 0.273
```

SG ... No. 2
E ... -0.127 hartree per atom
Density of states at the Fermi level ... 4.83 states/eV per cell

***

Computed, not measured: a relaxed structure of In15Sn2Bi2 at the PBE level of DFT.

The structure in POSCAR format:
```
In15Sn2Bi2
1.0
4.820 2.783 6.925
-4.820 2.783 6.925
0.000 -5.566 6.925
In Sn Bi
15 2 2
Direct
0.000 0.000 0.500
0.000 0.309 0.691
0.000 0.500 0.000
0.000 0.691 0.309
0.188 0.579 0.579
0.309 0.000 0.691
0.309 0.691 0.000
0.421 0.421 0.812
0.421 0.812 0.421
0.500 0.000 0.000
0.579 0.188 0.579
0.579 0.579 0.188
0.691 0.000 0.309
0.691 0.309 0.000
0.812 0.421 0.421
0.325 0.325 0.325
0.675 0.675 0.675
0.099 0.099 0.099
0.901 0.901 0.901
```

SG ... No. 166
E ... -0.106 hartree per atom
Density of states at the Fermi level ... 10.60 states/eV per cell

***

Computed, not measured: a relaxed structure of In4SnBi2 at the PBE level of DFT.

The structure in POSCAR format:
```
In4SnBi2
1.0
17.538 0.000 0.000
0.000 4.527 0.000
0.000 0.000 10.794
In Sn Bi
16 4 8
Direct
0.061 0.250 0.076
0.070 0.750 0.534
0.153 0.250 0.338
0.216 0.250 0.717
0.284 0.750 0.217
0.347 0.750 0.838
0.430 0.250 0.034
0.439 0.750 0.576
0.561 0.250 0.424
0.570 0.750 0.966
0.653 0.250 0.162
0.716 0.250 0.783
0.784 0.750 0.283
0.847 0.750 0.662
0.930 0.250 0.466
0.939 0.750 0.924
0.125 0.750 0.885
0.375 0.250 0.385
0.625 0.750 0.615
0.875 0.250 0.115
0.022 0.250 0.732
0.248 0.250 0.019
0.252 0.750 0.519
0.478 0.750 0.232
0.522 0.250 0.768
0.748 0.250 0.481
0.752 0.750 0.981
0.978 0.750 0.268
```

SG ... No. 62
E ... -0.117 hartree per atom
Density of states at the Fermi level ... 12.59 states/eV per cell

***

Computed, not measured: a relaxed structure of InSnBi2 at the PBE level of DFT.

The structure in POSCAR format:
```
InSnBi2
1.0
3.876 0.000 0.000
0.000 3.876 0.000
0.000 0.000 7.938
In Sn Bi
1 1 2
Direct
0.000 0.000 0.000
0.000 0.000 0.500
0.500 0.500 0.258
0.500 0.500 0.742
```

SG ... No. 123
E ... -0.130 hartree per atom
Density of states at the Fermi level ... 1.59 states/eV per cell

***

Computed, not measured: a relaxed structure of In3SnBi at the PBE level of DFT.

The structure in POSCAR format:
```
In3SnBi
1.0
5.612 0.000 0.000
0.000 5.612 0.000
0.000 0.000 5.612
In Sn Bi
3 1 1
Direct
0.000 0.000 0.500
0.000 0.500 0.000
0.500 0.000 0.000
0.000 0.000 0.000
0.500 0.500 0.500
```

SG ... No. 221
E ... -0.103 hartree per atom
Density of states at the Fermi level ... 2.75 states/eV per cell